# PmTlCr2O8

An optimized crystal structure of PmTlCr2O8 (PBE+U, Alexandria).

```
PmTlCr2O8
1.0
-0.025 -1.800 6.020
-1.916 -4.189 -4.274
6.008 1.213 -1.385
Pm Tl Cr O
1 1 2 8
Direct
0.250 0.750 0.500
0.000 0.000 0.000
0.750 0.250 0.500
0.500 0.500 0.000
0.416 0.083 0.333
0.351 0.531 0.181
0.351 0.170 0.819
0.751 0.083 0.667
0.830 0.649 0.181
0.917 0.249 0.333
0.917 0.584 0.667
0.469 0.649 0.819
```

Properties
crystal system: tetragonal
uncorrected energy: -6.809 eV/atom